The following is a DFT calculation (GGA-PBE) of RbDy2MnTe4 after structural relaxation.

```
data_RbDy2MnTe4
_space_group_name_H-M_alt 'P 1'
_space_group_IT_number 1
_space_group_name_Hall 'P 1'
_cell_length_a 8.017
_cell_length_b 8.017
_cell_length_c 15.528
_cell_angle_alpha 90.00
_cell_angle_beta 90.00
_cell_angle_gamma 148.01
loop_
_atom_site_label
_atom_site_type_symbol
_atom_site_fract_x
_atom_site_fract_y
_atom_site_fract_z
Rb1 Rb 0.113 0.887 0.750
Rb2 Rb 0.887 0.113 0.250
Dy1 Dy 0.370 0.630 0.562
Dy2 Dy 0.370 0.630 0.938
Dy3 Dy 0.630 0.370 0.062
Dy4 Dy 0.630 0.370 0.438
Mn1 Mn 0.166 0.834 0.250
Mn2 Mn 0.834 0.166 0.750
Te1 Te 0.000 0.000 0.000
Te2 Te 0.000 0.000 0.500
Te3 Te 0.264 0.736 0.108
Te4 Te 0.264 0.736 0.392
Te5 Te 0.435 0.565 0.750
Te6 Te 0.565 0.435 0.250
Te7 Te 0.736 0.264 0.608
Te8 Te 0.736 0.264 0.892
```

## Properties
- D(E_F): 6.84 states/eV/cell
- Energy relative to the elements, uncorrected: -1057 meV per atom